DFT (PBE+U) results for crystalline CoAgMo2O8 at its relaxed geometry.

## Properties
The calculation puts the total energy at -75.8 eV/f.u. The calculation puts the size of the total moment at 0.00 μB per formula unit. Its calculated volume is 178 Å³/f.u.

a = 5.641 Å, b = 5.641 Å, c = 6.463 Å
α = 90.00°, β = 90.00°, γ = 120.00°
Atoms (fractional coordinates):
O 0.831 0.143 0.324
Mo 0.333 0.667 0.759
O 0.143 0.312 0.676
O 0.857 0.688 0.324
O 0.169 0.857 0.676
Mo 0.667 0.333 0.241
O 0.312 0.169 0.324
Ag 0.000 0.000 0.000
Co 0.000 0.000 0.500
O 0.333 0.667 0.028
O 0.667 0.333 0.972
O 0.688 0.831 0.676